[1]
# Pm3DyTh2Sb6, relaxed, DFT PBE
# theoretical density = 7.79 g/cm³
# raw formation energy = -13.16 eV per formula unit
data_Pm3DyTh2Sb6
_cell_length_a 19.540
_cell_length_b 4.487
_cell_length_c 8.956
_cell_angle_alpha 90.00
_cell_angle_beta 103.37
_cell_angle_gamma 90.00
_symmetry_space_group_name_H-M 'C 1 2/m 1'
_symmetry_Int_Tables_number 12
_symmetry_space_group_name_Hall '-C 2y'
loop_
_atom_site_label
_atom_site_fract_x
_atom_site_fract_y
_atom_site_fract_z
Pm1 0.000 0.000 0.000
Pm2 0.167 0.500 0.334
Dy1 0.000 0.000 0.500
Th1 0.165 0.500 0.831
Sb1 0.001 0.500 0.255
Sb2 0.165 0.000 0.581
Sb3 0.167 0.000 0.084


[2]
# PmDyTh2Sb4, relaxed, DFT PBE
# theoretical density = 8.26 g/cm³
# raw formation energy = -8.31 eV per formula unit
data_PmDyTh2Sb4
_cell_length_a 7.722
_cell_length_b 4.483
_cell_length_c 7.763
_cell_angle_alpha 90.00
_cell_angle_beta 109.64
_cell_angle_gamma 90.00
_symmetry_space_group_name_H-M 'P 1 2/m 1'
_symmetry_Int_Tables_number 10
_symmetry_space_group_name_Hall '-P 2y'
loop_
_atom_site_label
_atom_site_fract_x
_atom_site_fract_y
_atom_site_fract_z
Pm1 0.000 0.000 0.000
Dy1 0.000 0.500 0.500
Th1 0.500 0.000 0.500
Th2 0.500 0.500 0.000
Sb1 0.244 0.000 0.745
Sb2 0.246 0.500 0.252


[3]
# PmDy2ThSb4, relaxed, DFT PBE
# theoretical density = 7.96 g/cm³
# raw formation energy = -8.84 eV per formula unit
data_PmDy2ThSb4
_cell_length_a 7.677
_cell_length_b 4.452
_cell_length_c 7.699
_cell_angle_alpha 90.00
_cell_angle_beta 109.50
_cell_angle_gamma 90.00
_symmetry_space_group_name_H-M 'P 1 2/m 1'
_symmetry_Int_Tables_number 10
_symmetry_space_group_name_Hall '-P 2y'
loop_
_atom_site_label
_atom_site_fract_x
_atom_site_fract_y
_atom_site_fract_z
Pm1 0.000 0.000 0.000
Dy1 0.500 0.000 0.500
Dy2 0.500 0.500 0.000
Th1 0.000 0.500 0.500
Sb1 0.257 0.500 0.252
Sb2 0.258 0.000 0.753


[4]
# PmDy3Th2Sb6, relaxed, DFT PBE
# theoretical density = 8.15 g/cm³
# raw formation energy = -12.91 eV per formula unit
data_PmDy3Th2Sb6
_cell_length_a 19.349
_cell_length_b 4.454
_cell_length_c 8.870
_cell_angle_alpha 90.00
_cell_angle_beta 103.03
_cell_angle_gamma 90.00
_symmetry_space_group_name_H-M 'C 1 2/m 1'
_symmetry_Int_Tables_number 12
_symmetry_space_group_name_Hall '-C 2y'
loop_
_atom_site_label
_atom_site_fract_x
_atom_site_fract_y
_atom_site_fract_z
Pm1 0.000 0.000 0.000
Dy1 0.000 0.000 0.500
Dy2 0.166 0.500 0.834
Th1 0.165 0.500 0.331
Sb1 0.002 0.500 0.746
Sb2 0.165 0.000 0.588
Sb3 0.168 0.000 0.078


Copy entry 3 word for word.
# PmDy2ThSb4, relaxed, DFT PBE
# theoretical density = 7.96 g/cm³
# raw formation energy = -8.84 eV per formula unit
data_PmDy2ThSb4
_cell_length_a 7.677
_cell_length_b 4.452
_cell_length_c 7.699
_cell_angle_alpha 90.00
_cell_angle_beta 109.50
_cell_angle_gamma 90.00
_symmetry_space_group_name_H-M 'P 1 2/m 1'
_symmetry_Int_Tables_number 10
_symmetry_space_group_name_Hall '-P 2y'
loop_
_atom_site_label
_atom_site_fract_x
_atom_site_fract_y
_atom_site_fract_z
Pm1 0.000 0.000 0.000
Dy1 0.500 0.000 0.500
Dy2 0.500 0.500 0.000
Th1 0.000 0.500 0.500
Sb1 0.257 0.500 0.252
Sb2 0.258 0.000 0.753


Q: What is the formula in the fourth record?
A: PmDy3Th2Sb6